Entry 1:
# Zn2CuPt | Alexandria | SCAN | PBEsol geometry
# DFT total energy, eV per atom: -28.44
# Volume, Å³/cell: 106.9
# ΔE_f, eV per atom: -0.336
data_Zn2CuPt
_chemical_formula_sum 'Zn4 Cu2 Pt2'
_cell_length_a 9.0321
_cell_length_b 2.7741
_cell_length_c 4.4122
_cell_angle_alpha 90.00
_cell_angle_beta 104.83
_cell_angle_gamma 90.00
_space_group_name_H-M_alt 'C 1 m 1'
_space_group_IT_number 8
loop_
_space_group_symop_operation_xyz
'x,y,z'
'x,-y,z'
'x+1/2,y+1/2,z'
'x+1/2,-y+1/2,z'
loop_
_atom_site_label
_atom_site_fract_x
_atom_site_fract_y
_atom_site_fract_z
Zn1 0.0000 0.0000 0.0000
Zn2 0.2464 0.0000 0.6989
Cu1 0.2451 0.5000 0.1975
Pt1 0.4962 0.0000 0.4951

***

Entry 2:
# RbGeAs2Se | Alexandria | SCAN | PBEsol geometry
# Relative energy among the computed polymorphs, eV per atom: 0.0000
# DFT total energy, eV per atom: -19.90
# Volume, Å³/cell: 132.4
# Formation energy (no corrections), meV/atom: 153
data_RbGeAs2Se
_chemical_formula_sum 'Rb1 Ge1 As2 Se1'
_cell_length_a 5.0207
_cell_length_b 5.0207
_cell_length_c 5.2511
_cell_angle_alpha 90.00
_cell_angle_beta 90.00
_cell_angle_gamma 90.00
_space_group_name_H-M_alt 'P 4/m m m'
_space_group_IT_number 123
_space_group_name_Hall '-P 4 2'
loop_
_atom_site_label
_atom_site_fract_x
_atom_site_fract_y
_atom_site_fract_z
Rb1 0.0000 0.0000 0.0000
Ge1 0.5000 0.5000 0.5000
As1 0.0000 0.5000 0.5000
Se1 0.5000 0.5000 0.0000

***

Entry 3:
# PrNi2P2 | Alexandria | SCAN | PBEsol geometry
# DFT total energy, eV per atom: -20.32
# Volume, Å³/cell: 145.5
# ΔE_f, eV per atom: -1.026
data_PrNi2P2
_chemical_formula_sum 'Pr2 Ni4 P4'
_cell_length_a 3.9241
_cell_length_b 3.9241
_cell_length_c 9.4499
_cell_angle_alpha 90.00
_cell_angle_beta 90.00
_cell_angle_gamma 90.00
_space_group_name_H-M_alt 'I 4/m m m'
_space_group_IT_number 139
_space_group_name_Hall '-I 4 2'
loop_
_atom_site_label
_atom_site_fract_x
_atom_site_fract_y
_atom_site_fract_z
Pr1 0.0000 0.0000 0.0000
Ni1 0.0000 0.5000 0.2500
P1 0.0000 0.0000 0.3708

***

Entry 4:
# IrWCl2 | Alexandria | SCAN | PBEsol geometry
# Relative energy among the computed polymorphs, eV per atom: 0.1665
# DFT total energy, eV per atom: -38.94
# Volume, Å³/cell: 156.2
# Formation energy (no corrections), meV/atom: 248
data_IrWCl2
_chemical_formula_sum 'Ir2 W2 Cl4'
_cell_length_a 11.8018
_cell_length_b 2.9065
_cell_length_c 4.5850
_cell_angle_alpha 90.00
_cell_angle_beta 96.80
_cell_angle_gamma 90.00
_space_group_name_H-M_alt 'C 1 2/m 1'
_space_group_IT_number 12
loop_
_space_group_symop_operation_xyz
'x,y,z'
'-x,-y,-z'
'-x,y,-z'
'x,-y,z'
'x+1/2,y+1/2,z'
'-x+1/2,-y+1/2,-z'
'-x+1/2,y+1/2,-z'
'x+1/2,-y+1/2,z'
loop_
_atom_site_label
_atom_site_fract_x
_atom_site_fract_y
_atom_site_fract_z
Ir1 0.0000 0.0000 0.0000
W1 0.0000 0.5000 0.5000
Cl1 0.1529 0.0000 0.7180

***

Entry 5:
# GeSbRh2C | Alexandria | SCAN | PBEsol geometry
# DFT total energy, eV per atom: -25.79
# Volume, Å³/cell: 81.1
# Formation energy (no corrections), meV/atom: 1013
data_GeSbRh2C
_chemical_formula_sum 'Ge1 Sb1 Rh2 C1'
_cell_length_a 4.6993
_cell_length_b 4.6993
_cell_length_c 3.6727
_cell_angle_alpha 90.00
_cell_angle_beta 90.00
_cell_angle_gamma 90.00
_space_group_name_H-M_alt 'P 4/m m m'
_space_group_IT_number 123
_space_group_name_Hall '-P 4 2'
loop_
_atom_site_label
_atom_site_fract_x
_atom_site_fract_y
_atom_site_fract_z
Ge1 0.0000 0.0000 0.0000
Sb1 0.5000 0.5000 0.5000
Rh1 0.0000 0.5000 0.0000
C1 0.0000 0.0000 0.5000

***

Entry 6:
# BaZn2 | Alexandria | SCAN | PBEsol geometry
# DFT total energy, eV per atom: -22.40
# Volume, Å³/cell: 295.1
# ΔE_f, eV per atom: -0.205
data_BaZn2
_chemical_formula_sum 'Ba4 Zn8'
_cell_length_a 4.9267
_cell_length_b 8.0066
_cell_length_c 7.4812
_cell_angle_alpha 90.00
_cell_angle_beta 90.00
_cell_angle_gamma 90.00
_space_group_name_H-M_alt 'I m m a'
_space_group_IT_number 74
_space_group_name_Hall '-I 2b 2'
loop_
_atom_site_label
_atom_site_fract_x
_atom_site_fract_y
_atom_site_fract_z
Ba1 0.0000 0.2500 0.0657
Zn1 0.0000 0.0817 0.6577